Entry 1:
Density functional theory data (PBE) for crystalline La2AsIrN at its relaxed geometry.

For the energy, the calculation gives -7.375 eV/atom. As for the uncorrected formation energy: -1.037 eV/atom.

The space group is P4/mmm (No. 123) and the conventional cell measures 5.302, 5.302 and 3.850 Å, with angles of 90.00, 90.00 and 90.00 degrees. Symmetry generates all atoms from La at (0.000, 0.500, 0.000), As at (0.000, 0.000, 0.500), Ir at (0.500, 0.500, 0.500) and N at (0.500, 0.500, 0.000).


Entry 2:
Density functional theory data (PBE) for crystalline CaInAg3 at its relaxed geometry.

For the energy, the calculation gives -2.510 eV/atom.

The space group is Pm-3m (No. 221) and the conventional cell measures 5.197, 5.197 and 5.197 Å, with angles of 90.00, 90.00 and 90.00 degrees. Symmetry generates all atoms from Ca at (0.000, 0.000, 0.000), In at (0.500, 0.500, 0.500) and Ag at (0.000, 0.500, 0.500).


Entry 3:
Density functional theory data (PBE) for crystalline ZnFe3Mo at its relaxed geometry.

For the energy, the calculation gives -5.862 eV/atom.

The space group is Pm-3m (No. 221) and the conventional cell measures 4.167, 4.167 and 4.167 Å, with angles of 90.00, 90.00 and 90.00 degrees. Symmetry generates all atoms from Zn at (0.000, 0.000, 0.000), Fe at (0.000, 0.000, 0.500) and Mo at (0.500, 0.500, 0.500).


Entry 4:
Density functional theory data (PBE) for crystalline Dy3Y6Cd at its relaxed geometry.

For the energy, the calculation gives -5.369 eV/atom.

The space group is P2_1/m (No. 11) and the conventional cell measures 10.944, 5.040 and 11.252 Å, with angles of 90.00, 92.09 and 90.00 degrees. Symmetry generates all atoms from Dy at (0.053, 0.250, 0.402), Dy at (0.156, 0.750, 0.208), Dy at (0.253, 0.250, 0.010), Y at (0.050, 0.750, 0.899), Y at (0.153, 0.250, 0.702), Y at (0.268, 0.750, 0.508), Y at (0.345, 0.750, 0.812), Y at (0.367, 0.250, 0.319), Y at (0.454, 0.750, 0.106) and Cd at (0.443, 0.250, 0.613).